1.
Here is a relaxed SbPN2 crystal from Alexandria. Energies are from PBE.

Properties
Energy relative to the elements, uncorrected, eV/atom: 1.625
Polymorph energy (0 for the lowest one), meV per atom: 1324
Volume, Å³/cell: 191.5
Spin magnetization, μB per atom: 0.000

```
data_SbPN2
_chemical_formula_sum 'Sb4 P4 N8'
_space_group_name_H-M_alt 'F m -3 m'
_space_group_IT_number 225
_space_group_name_Hall '-F 4 2 3'
_cell_length_a 5.7640
_cell_length_b 5.7640
_cell_length_c 5.7640
_cell_angle_alpha 90.00
_cell_angle_beta 90.00
_cell_angle_gamma 90.00
loop_
_atom_site_label
_atom_site_type_symbol
_atom_site_fract_x
_atom_site_fract_y
_atom_site_fract_z
Sb1 Sb 0.0000 0.0000 0.0000
P1 P 0.0000 0.0000 0.5000
N1 N 0.2500 0.2500 0.2500
```

2.
Here is a relaxed TaFeNi14 crystal from Alexandria. Energies are from PBE.

Properties
Volume, Å³/cell: 181.4
Formation energy from the elements, eV/atom: -0.0795
Spin magnetization, μB per atom: 0.562

```
data_TaFeNi14
_chemical_formula_sum 'Ta1 Fe1 Ni14'
_space_group_name_H-M_alt 'P 4/m m m'
_space_group_IT_number 123
_space_group_name_Hall '-P 4 2'
_cell_length_a 5.0605
_cell_length_b 5.0605
_cell_length_c 7.0844
_cell_angle_alpha 90.00
_cell_angle_beta 90.00
_cell_angle_gamma 90.00
loop_
_atom_site_label
_atom_site_type_symbol
_atom_site_fract_x
_atom_site_fract_y
_atom_site_fract_z
Ta1 Ta 0.0000 0.0000 0.0000
Fe1 Fe 0.5000 0.5000 0.0000
Ni1 Ni 0.0000 0.0000 0.5000
Ni2 Ni 0.0000 0.5000 0.0000
Ni3 Ni 0.0000 0.5000 0.5000
Ni4 Ni 0.2532 0.2532 0.2543
Ni5 Ni 0.5000 0.5000 0.5000
```

3.
Here is a relaxed Na5Y crystal from Alexandria. Energies are from PBE.

Properties
Volume, Å³/cell: 420.3
Formation energy from the elements, eV/atom: 0.1813
Spin magnetization, μB per atom: 0.000

```
data_Na5Y
_chemical_formula_sum 'Na10 Y2'
_space_group_name_H-M_alt 'C m m m'
_space_group_IT_number 65
_space_group_name_Hall '-C 2 2'
_cell_length_a 6.1944
_cell_length_b 18.5921
_cell_length_c 3.6491
_cell_angle_alpha 90.00
_cell_angle_beta 90.00
_cell_angle_gamma 90.00
loop_
_atom_site_label
_atom_site_type_symbol
_atom_site_fract_x
_atom_site_fract_y
_atom_site_fract_z
Na1 Na 0.0000 0.0000 0.0000
Na2 Na 0.0000 0.1522 0.5000
Na3 Na 0.0000 0.3272 0.0000
Y1 Y 0.0000 0.5000 0.5000
```

4.
Here is a relaxed RbAg2PSe4 crystal from Alexandria. Energies are from PBE.

Properties
Energy relative to the elements, uncorrected, eV/atom: -0.381
Volume, Å³/cell: 463.6
Spin magnetization, μB per atom: 0.000

```
data_RbAg2PSe4
_chemical_formula_sum 'Rb2 Ag4 P2 Se8'
_space_group_name_H-M_alt 'I 2 2 2'
_space_group_IT_number 23
_space_group_name_Hall 'I 2 2'
_cell_length_a 6.8071
_cell_length_b 7.7193
_cell_length_c 8.8234
_cell_angle_alpha 90.00
_cell_angle_beta 90.00
_cell_angle_gamma 90.00
loop_
_atom_site_label
_atom_site_type_symbol
_atom_site_fract_x
_atom_site_fract_y
_atom_site_fract_z
Rb1 Rb 0.0000 0.0000 0.0000
Ag1 Ag 0.0000 0.5000 0.1752
P1 P 0.0000 0.0000 0.5000
Se1 Se 0.1835 0.1757 0.3541
```

5.
Here is a relaxed Pr4Cu2C crystal from Alexandria. Energies are from PBE.

Properties
Volume, Å³/cell: 373.2
Formation energy from the elements, eV/atom: 0.0370
Spin magnetization, μB per atom: 0.000

```
data_Pr4Cu2C
_chemical_formula_sum 'Pr8 Cu4 C2'
_space_group_name_H-M_alt 'I 4/m m m'
_space_group_IT_number 139
_space_group_name_Hall '-I 4 2'
_cell_length_a 5.1631
_cell_length_b 5.1631
_cell_length_c 14.0017
_cell_angle_alpha 90.00
_cell_angle_beta 90.00
_cell_angle_gamma 90.00
loop_
_atom_site_label
_atom_site_type_symbol
_atom_site_fract_x
_atom_site_fract_y
_atom_site_fract_z
Pr1 Pr 0.0000 0.0000 0.1824
Pr2 Pr 0.0000 0.5000 0.0000
Cu1 Cu 0.0000 0.0000 0.3861
C1 C 0.0000 0.0000 0.0000
```

6.
Here is a relaxed Mg3Sc2Au4 crystal from Alexandria. Energies are from PBE.

Properties
Polymorph energy (0 for the lowest one), meV per atom: 90
Volume, Å³/cell: 720.3
Formation energy from the elements, eV/atom: -0.5439
Spin magnetization, μB per atom: 0.000

```
data_Mg3Sc2Au4
_chemical_formula_sum 'Mg12 Sc8 Au16'
_space_group_name_H-M_alt 'C m c e'
_space_group_IT_number 64
_space_group_name_Hall '-C 2ac 2'
_cell_length_a 5.8622
_cell_length_b 16.3648
_cell_length_c 7.5087
_cell_angle_alpha 90.00
_cell_angle_beta 90.00
_cell_angle_gamma 90.00
loop_
_atom_site_label
_atom_site_type_symbol
_atom_site_fract_x
_atom_site_fract_y
_atom_site_fract_z
Mg1 Mg 0.0000 0.0000 0.0000
Mg2 Mg 0.2500 0.2317 0.2500
Sc1 Sc 0.0000 0.0939 0.6012
Au1 Au 0.0000 0.1653 0.9562
Au2 Au 0.2500 0.0626 0.2500
```

7.
Here is a relaxed LiGaS2 crystal from Alexandria. Energies are from PBE.

Properties
Energy relative to the elements, uncorrected, eV/atom: -0.908
Volume, Å³/cell: 246.4
Spin magnetization, μB per atom: 0.000

```
data_LiGaS2
_chemical_formula_sum 'Li3 Ga3 S6'
_space_group_name_H-M_alt 'R 3 m'
_space_group_IT_number 160
_space_group_name_Hall 'R 3 -2"'
_cell_length_a 3.8264
_cell_length_b 3.8264
_cell_length_c 19.4331
_cell_angle_alpha 90.00
_cell_angle_beta 90.00
_cell_angle_gamma 120.00
loop_
_atom_site_label
_atom_site_type_symbol
_atom_site_fract_x
_atom_site_fract_y
_atom_site_fract_z
Li1 Li 0.0000 0.0000 0.0000
Ga1 Ga 0.0000 0.0000 0.4809
S1 S 0.0000 0.0000 0.3696
S2 S 0.0000 0.0000 0.8664
```

8.
Here is a relaxed CsRbHg2Pt crystal from Alexandria. Energies are from PBE.

Properties
Polymorph energy (0 for the lowest one), meV per atom: 0
Volume, Å³/cell: 186.5
Formation energy from the elements, eV/atom: -0.1690
Spin magnetization, μB per atom: 0.000

```
data_CsRbHg2Pt
_chemical_formula_sum 'Cs1 Rb1 Hg2 Pt1'
_space_group_name_H-M_alt 'P 4/m m m'
_space_group_IT_number 123
_space_group_name_Hall '-P 4 2'
_cell_length_a 5.5259
_cell_length_b 5.5259
_cell_length_c 6.1069
_cell_angle_alpha 90.00
_cell_angle_beta 90.00
_cell_angle_gamma 90.00
loop_
_atom_site_label
_atom_site_type_symbol
_atom_site_fract_x
_atom_site_fract_y
_atom_site_fract_z
Cs1 Cs 0.0000 0.0000 0.0000
Rb1 Rb 0.5000 0.5000 0.0000
Hg1 Hg 0.0000 0.5000 0.5000
Pt1 Pt 0.5000 0.5000 0.5000
```

9.
Here is a relaxed Ca2HfCrSn crystal from Alexandria. Energies are from PBE.

Properties
Volume, Å³/cell: 159.8
Formation energy from the elements, eV/atom: 0.9612
Spin magnetization, μB per atom: 0.360

```
data_Ca2HfCrSn
_chemical_formula_sum 'Ca2 Hf1 Cr1 Sn1'
_space_group_name_H-M_alt 'P 4/m m m'
_space_group_IT_number 123
_space_group_name_Hall '-P 4 2'
_cell_length_a 5.8815
_cell_length_b 5.8815
_cell_length_c 4.6191
_cell_angle_alpha 90.00
_cell_angle_beta 90.00
_cell_angle_gamma 90.00
loop_
_atom_site_label
_atom_site_type_symbol
_atom_site_fract_x
_atom_site_fract_y
_atom_site_fract_z
Ca1 Ca 0.0000 0.5000 0.0000
Hf1 Hf 0.0000 0.0000 0.0000
Cr1 Cr 0.0000 0.0000 0.5000
Sn1 Sn 0.5000 0.5000 0.5000
```

10.
Here is a relaxed TaCr2Br crystal from Alexandria. Energies are from PBE.

Properties
Energy relative to the elements, uncorrected, eV/atom: 0.482
Polymorph energy (0 for the lowest one), meV per atom: 174
Volume, Å³/cell: 214.2
Spin magnetization, μB per atom: 1.394

```
data_TaCr2Br
_chemical_formula_sum 'Ta3 Cr6 Br3'
_space_group_name_H-M_alt 'R -3 m'
_space_group_IT_number 166
_space_group_name_Hall '-R 3 2"'
_cell_length_a 3.1673
_cell_length_b 3.1673
_cell_length_c 24.6538
_cell_angle_alpha 90.00
_cell_angle_beta 90.00
_cell_angle_gamma 120.00
loop_
_atom_site_label
_atom_site_type_symbol
_atom_site_fract_x
_atom_site_fract_y
_atom_site_fract_z
Ta1 Ta 0.0000 0.0000 0.0000
Cr1 Cr 0.0000 0.0000 0.2525
Br1 Br 0.0000 0.0000 0.5000
```

11.
Here is a relaxed La3Pr2Sc crystal from Alexandria. Energies are from PBE.

Properties
Polymorph energy (0 for the lowest one), meV per atom: 0
Volume, Å³/cell: 410.7
Formation energy from the elements, eV/atom: 0.0364
Spin magnetization, μB per atom: 0.000

```
data_La3Pr2Sc
_chemical_formula_sum 'La6 Pr4 Sc2'
_space_group_name_H-M_alt 'P -1'
_space_group_IT_number 2
_space_group_name_Hall '-P 1'
_cell_length_a 5.1655
_cell_length_b 8.1437
_cell_length_c 10.9230
_cell_angle_alpha 72.48
_cell_angle_beta 76.34
_cell_angle_gamma 71.61
loop_
_atom_site_label
_atom_site_type_symbol
_atom_site_fract_x
_atom_site_fract_y
_atom_site_fract_z
La1 La 0.0427 0.2846 0.1297
La2 La 0.2933 0.0437 0.8694
La3 La 0.3720 0.6261 0.1300
Pr1 Pr 0.2105 0.4604 0.6187
Pr2 Pr 0.4599 0.1991 0.3815
Sc1 Sc 0.1195 0.8764 0.3846
```

12.
Here is a relaxed Ac3Pm4Nd3 crystal from Alexandria. Energies are from PBE.

Properties
Volume, Å³/cell: 769.8
Formation energy from the elements, eV/atom: 0.0789
Spin magnetization, μB per atom: 0.000

```
data_Ac3Pm4Nd3
_chemical_formula_sum 'Ac6 Pm8 Nd6'
_space_group_name_H-M_alt 'A m m 2'
_space_group_IT_number 38
_space_group_name_Hall 'A 2 -2'
_cell_length_a 3.8764
_cell_length_b 14.0134
_cell_length_c 14.1713
_cell_angle_alpha 90.00
_cell_angle_beta 90.00
_cell_angle_gamma 90.00
loop_
_atom_site_label
_atom_site_type_symbol
_atom_site_fract_x
_atom_site_fract_y
_atom_site_fract_z
Ac1 Ac 0.0000 0.0000 0.0000
Ac2 Ac 0.5000 0.2489 0.5779
Pm1 Pm 0.5000 0.0000 0.2100
Pm2 Pm 0.5000 0.0000 0.4531
Pm3 Pm 0.5000 0.1251 0.8189
Nd1 Nd 0.0000 0.0000 0.6522
Nd2 Nd 0.0000 0.1729 0.3295
```